No. 1
A plane-wave DFT calculation with PBE was carried out for an optimized crystal structure of GdAgGeTeSe2.

```
GdAgGeTeSe2
1.0
2.031 -6.815 0.000
2.031 6.815 0.000
0.000 0.000 11.261
Gd Ag Ge Te Se
2 2 2 2 4
direct
0.000 0.000 0.000
0.000 0.000 0.500
0.478 0.522 0.750
0.522 0.478 0.250
0.206 0.794 0.250
0.794 0.206 0.750
0.121 0.879 0.750
0.879 0.121 0.250
0.358 0.642 0.568
0.358 0.642 0.932
0.642 0.358 0.068
0.642 0.358 0.432
```

Results
The magnetization comes out at 0.00 Bohr magnetons per cell. As for the space-group type: No. 63.

No. 2
A plane-wave DFT calculation with PBE was carried out for an optimized crystal structure of ZrNbO4.

```
ZrNbO4
1.0
3.456 -5.281 0.000
3.456 5.281 0.000
-3.421 0.000 3.769
Zr Nb O
2 2 8
direct
0.132 0.868 0.750
0.868 0.132 0.250
0.398 0.602 0.250
0.602 0.398 0.750
0.114 0.545 0.351
0.210 0.267 0.759
0.267 0.210 0.259
0.455 0.886 0.149
0.545 0.114 0.851
0.733 0.790 0.741
0.790 0.733 0.241
0.886 0.455 0.649
```

Results
The magnetization comes out at 2.00 Bohr magnetons per cell. As for the space-group type: No. 15.

No. 3
A plane-wave DFT calculation with PBE was carried out for an optimized crystal structure of LuTlO3.

```
LuTlO3
1.0
2.952 1.705 4.633
-2.952 1.705 4.633
0.000 -3.409 4.633
Lu Tl O
2 2 6
direct
0.250 0.250 0.250
0.750 0.750 0.750
0.000 0.000 0.000
0.500 0.500 0.500
0.105 0.750 0.395
0.250 0.605 0.895
0.395 0.105 0.750
0.605 0.895 0.250
0.750 0.395 0.105
0.895 0.250 0.605
```

Results
The magnetization comes out at 0.00 Bohr magnetons per cell. As for the space-group type: No. 167.

No. 4
A plane-wave DFT calculation with PBE was carried out for an optimized crystal structure of SrSnPPd2.

```
SrSnPPd2
1.0
4.396 0.000 0.000
0.000 4.396 0.000
0.000 0.000 10.694
Sr Sn P Pd
2 2 2 4
direct
0.250 0.250 0.227
0.750 0.750 0.773
0.250 0.750 0.500
0.750 0.250 0.500
0.250 0.250 0.884
0.750 0.750 0.116
0.250 0.250 0.660
0.250 0.750 0.000
0.750 0.250 0.000
0.750 0.750 0.340
```

Results
As for the space-group type: No. 129.

No. 5
A plane-wave DFT calculation with PBE was carried out for an optimized crystal structure of InB4Ir.

```
InB4Ir
1.0
3.120 0.000 0.000
-1.560 2.702 0.000
0.000 0.000 7.641
In B Ir
1 4 1
direct
0.000 0.000 0.000
0.333 0.667 0.293
0.333 0.667 0.707
0.667 0.333 0.293
0.667 0.333 0.707
0.000 0.000 0.500
```

Results
The magnetization comes out at 0.01 Bohr magnetons per cell. The polymorph energy (0 for the lowest one) comes out at 0.008 eV/atom. As for the space-group type: No. 191.

No. 6
A plane-wave DFT calculation with PBE was carried out for an optimized crystal structure of GaCoRe2.

```
GaCoRe2
1.0
0.000 3.017 3.017
3.017 0.000 3.017
3.017 3.017 0.000
Ga Co Re
1 1 2
direct
0.000 0.000 0.000
0.250 0.250 0.250
0.500 0.500 0.500
0.750 0.750 0.750
```

Results
The magnetization comes out at 1.80 Bohr magnetons per cell. As for the space-group type: No. 216.

No. 7
A plane-wave DFT calculation with PBE was carried out for an optimized crystal structure of AgHgO3.

```
AgHgO3
1.0
2.845 1.643 4.474
-2.845 1.643 4.474
0.000 -3.285 4.474
Ag Hg O
2 2 6
direct
0.000 0.000 0.000
0.500 0.500 0.500
0.250 0.250 0.250
0.750 0.750 0.750
0.137 0.750 0.363
0.250 0.637 0.863
0.363 0.137 0.750
0.637 0.863 0.250
0.750 0.363 0.137
0.863 0.250 0.637
```

Results
As for the space-group type: No. 167.

No. 8
A plane-wave DFT calculation with PBE was carried out for an optimized crystal structure of SrFe3.

```
SrFe3
1.0
-2.229 2.229 3.321
2.229 -2.229 3.321
2.229 2.229 -3.321
Sr Fe
1 3
direct
0.000 0.000 0.000
0.250 0.750 0.500
0.500 0.500 0.000
0.750 0.250 0.500
```

Results
The magnetization comes out at 7.29 Bohr magnetons per cell. As for the space-group type: No. 139.

No. 9
A plane-wave DFT calculation with PBE was carried out for an optimized crystal structure of Al2HgSe3S.

```
Al2HgSe3S
1.0
5.794 0.000 0.000
-0.082 5.831 0.000
-2.779 -2.951 5.374
Al Hg Se S
2 1 3 1
direct
0.000 0.000 0.000
0.242 0.757 0.511
0.745 0.259 0.504
0.341 0.395 0.228
0.615 0.128 0.789
0.874 0.841 0.228
0.140 0.673 0.770
```

Results
As for the space-group type: No. 1.

No. 10
A plane-wave DFT calculation with PBE was carried out for an optimized crystal structure of GdMgHg.

```
GdMgHg
1.0
0.000 3.549 3.549
3.549 0.000 3.549
3.549 3.549 0.000
Gd Mg Hg
1 1 1
direct
0.000 0.000 0.000
0.250 0.250 0.250
0.750 0.750 0.750
```

Results
The magnetization comes out at 0.04 Bohr magnetons per cell. As for the space-group type: No. 216.

No. 11
A plane-wave DFT calculation with PBE was carried out for an optimized crystal structure of Ho2FeS4.

```
Ho2FeS4
1.0
0.000 5.462 5.462
5.462 0.000 5.462
5.462 5.462 0.000
Ho Fe S
4 2 8
direct
0.000 0.000 0.000
0.000 0.000 0.500
0.000 0.500 0.000
0.500 0.000 0.000
0.375 0.375 0.375
0.625 0.625 0.625
0.248 0.751 0.751
0.249 0.249 0.249
0.249 0.249 0.752
0.249 0.752 0.249
0.751 0.248 0.751
0.751 0.751 0.248
0.751 0.751 0.751
0.752 0.249 0.249
```

Results
The magnetization comes out at 8.00 Bohr magnetons per cell. As for the space-group type: No. 227.

No. 12
A plane-wave DFT calculation with PBE was carried out for an optimized crystal structure of Dy3Ni2Sn3Ir.

```
Dy3Ni2Sn3Ir
1.0
7.350 0.000 0.000
-3.675 6.365 0.000
0.000 0.000 3.983
Dy Ni Sn Ir
3 2 3 1
direct
0.000 0.595 0.000
0.405 0.405 0.000
0.595 0.000 0.000
0.333 0.667 0.500
0.667 0.333 0.500
0.000 0.265 0.500
0.265 0.000 0.500
0.735 0.735 0.500
0.000 0.000 0.000
```

Results
The magnetization comes out at 0.00 Bohr magnetons per cell. As for the space-group type: No. 189.

| no. | calculated total energy (eV/atom) |
| --- | --- |
| 1 | -4.401 |
| 2 | -9.198 |
| 3 | -6.217 |
| 4 | -5.058 |
| 5 | -5.878 |
| 6 | -8.626 |
| 7 | -3.439 |
| 8 | -5.792 |
| 9 | -3.921 |
| 10 | -1.975 |
| 11 | -6.333 |
| 12 | -5.811 |